[1]
20
Lattice="-5.028 6.561 3.144 5.028 -6.561 3.144 5.028 6.561 -3.144" Properties=species:S:1:pos:R:3 comment="PBE Ac2Ge3Pt5, optimized geometry" crystal_system=orthorhombic e_tot_ev_per_atom=-6.145 pbc="T T T"
Ac -2.372 4.819 3.144
Ac 2.656 1.742 3.144
Ac 2.372 4.819 0.000
Ac 7.401 1.742 0.000
Ge 1.389 -1.454 3.144
Ge 1.389 1.454 0.000
Ge 0.000 6.561 1.572
Ge 5.028 0.000 1.572
Ge 3.639 5.107 3.144
Ge 3.639 8.015 0.000
Pt 0.000 0.000 1.572
Pt 0.000 0.000 4.717
Pt 0.000 2.895 1.572
Pt 0.000 2.895 4.717
Pt 3.888 -1.632 3.144
Pt 1.140 4.929 3.144
Pt 3.888 1.632 0.000
Pt 1.140 8.193 0.000
Pt 5.028 3.666 -1.572
Pt 5.028 3.666 1.572



[2]
3
Lattice="0.000 3.651 3.651 3.651 0.000 3.651 3.651 3.651 0.000" Properties=species:S:1:pos:R:3 comment="PBE AcTaGe, optimized geometry" crystal_system=cubic e_tot_ev_per_atom=-5.492 pbc="T T T"
Ac 0.000 0.000 0.000
Ge 1.825 1.825 1.825
Ta 5.476 5.476 5.476



[3]
3
Lattice="2.026 1.350 4.541 0.185 4.965 1.364 -3.051 1.754 3.763" Properties=species:S:1:pos:R:3 comment="PBE AcTbGe, optimized geometry" crystal_system=cubic e_tot_ev_per_atom=-4.143 pbc="T T T"
Ac -0.630 6.052 7.251
Ge -0.210 2.017 2.417
Tb 0.000 0.000 0.000



[4]
10
Lattice="-2.267 -4.660 3.545 1.755 -1.129 -5.922 5.601 -1.277 1.903" Properties=species:S:1:pos:R:3 comment="PBE AcTcGe3, optimized geometry" crystal_system=hexagonal e_tot_ev_per_atom=-6.115 pbc="T T T"
Ac 1.814 -2.625 -2.290
Ac 3.274 -4.441 1.817
Ge 0.866 -2.329 0.701
Ge -0.093 -4.300 2.200
Ge 0.649 -4.778 -0.305
Ge 4.439 -2.288 -0.169
Ge 5.182 -2.766 -2.674
Ge 4.223 -4.737 -1.174
Tc 0.000 0.000 0.000
Tc 2.800 -0.638 0.952



[5]
3
Lattice="-0.455 -0.003 5.099 -3.237 -3.246 2.279 1.816 -3.932 2.730" Properties=species:S:1:pos:R:3 comment="PBE AcUGe, optimized geometry" relative_energy_mev_per_atom=0 crystal_system=cubic pbc="T T T"
Ac -0.469 -1.795 2.527
Ge 0.000 0.000 0.000
U -1.408 -5.385 7.581



[6]
10
Lattice="-3.975 2.242 0.522 -1.107 -0.948 -4.355 -4.430 -8.551 2.988" Properties=species:S:1:pos:R:3 comment="PBE AcZn2Ge2, optimized geometry" relative_energy_mev_per_atom=0 crystal_system=tetragonal pbc="T T T"
Ac -1.667 -2.624 -1.426
Ac -5.304 -5.280 2.497
Ge -2.562 0.011 0.649
Ge -2.215 -4.275 1.494
Ge -4.756 -3.629 -0.423
Ge -4.408 -7.915 0.422
Zn 0.000 0.000 0.000
Zn -2.541 0.647 -1.917
Zn -3.661 -2.110 1.390
Zn -3.310 -5.795 -0.319



[7]
3
Lattice="4.375 0.000 0.000 -2.188 3.789 0.000 0.000 0.000 4.594" Properties=species:S:1:pos:R:3 comment="PBE AcZnGe, optimized geometry" relative_energy_mev_per_atom=0 crystal_system=hexagonal pbc="T T T"
Ac 2.188 1.263 1.531
Ge 0.000 2.526 3.830
Zn 0.000 0.000 3.826



[8]
3
Lattice="-3.822 -0.143 3.013 -4.522 -0.020 -1.804 -2.720 -4.027 0.293" Properties=species:S:1:pos:R:3 comment="PBE AcZnGe, optimized geometry" relative_energy_mev_per_atom=322 crystal_system=cubic pbc="T T T"
Ac -2.766 -1.048 0.375
Ge -8.298 -3.143 1.126
Zn 0.000 0.000 0.000